Entry 1:
Here is a geometry-optimized CsRbZnGeO structure from Alexandria. Energies are from PBE.

abc: 5.3955 6.1806 6.6883
angles: 93.19 107.63 109.15
Element x y z (fractional)
Cs 0.1765 0.5385 0.0066
Zn 0.7777 0.4369 0.4215
O 0.1707 0.5191 0.4682
Ge 0.5572 0.6431 0.5965
Rb 0.1714 0.0382 0.4926

Calculated values
For the energy, the calculation gives -3.053 eV per atom. As for the density of states at the Fermi level: 1.44 states/eV per cell. The calculation puts the uncorrected formation energy at -0.52 eV/atom.

Entry 2:
Here is a geometry-optimized BTeHRhAu structure from Alexandria. Energies are from PBE.

abc: 4.4880 3.2250 5.7363
angles: 90.00 101.78 90.00
Element x y z (fractional)
B 0.1228 0.5000 0.4656
Au 0.1607 0.0000 0.2089
Rh 0.5773 0.5000 0.5361
H 0.9897 0.5000 0.6375
Te 0.5918 0.0000 0.8998

Calculated values
For the energy, the calculation gives -4.620 eV per atom. As for the density of states at the Fermi level: 1.58 states/eV per cell.